{
  "formula": "InAgCl5",
  "functional": "PBE-GGA",
  "state": "relaxed",
  "lattice_angstrom": [[3.8607, -6.5412, 0.0000], [3.8607, 6.5412, 0.0000], [-3.6046, 0.0000, 8.8266]],
  "species": ["In", "In", "Ag", "Ag", "Cl", "Cl", "Cl", "Cl", "Cl", "Cl", "Cl", "Cl", "Cl", "Cl"],
  "fractional_positions": [[0.0000, 0.5000, 0.0000], [0.5000, 0.0000, 0.5000], [0.2358, 0.7642, 0.7500], [0.7642, 0.2358, 0.2500], [0.0361, 0.2561, 0.1357], [0.1818, 0.8182, 0.2500], [0.2561, 0.0361, 0.6357], [0.3410, 0.6160, 0.9349], [0.3840, 0.6590, 0.5651], [0.6160, 0.3410, 0.4349], [0.6590, 0.3840, 0.0651], [0.7439, 0.9639, 0.3643], [0.8182, 0.1818, 0.7500], [0.9639, 0.7439, 0.8643]],
  "e_form_raw_ev_per_atom": -0.73,
  "magnetic_moment_mub_per_cell": 1.82
}